Entry 1:
Density functional theory data (PBE) for ErSi2Ag6 after structural relaxation.

Summary:
Uncorrected formation energy: -1.46 eV per formula unit
Space-group type: No. 123

a b c (Å): 4.104 4.104 9.743
angles (deg): 90.00 90.00 90.00
Fractional coordinates of all 9 atoms:
Er 0.000 0.000 0.000
Si 0.500 0.500 0.116
Si 0.500 0.500 0.884
Ag 0.000 0.000 0.500
Ag 0.000 0.500 0.277
Ag 0.000 0.500 0.723
Ag 0.500 0.000 0.277
Ag 0.500 0.000 0.723
Ag 0.500 0.500 0.500

Entry 2:
Density functional theory data (PBE) for K4PmTm3Te8 after structural relaxation.

Summary:
Uncorrected formation energy: -22.08 eV per formula unit
Space-group type: No. 166

a b c (Å): 9.737 9.737 9.737
angles (deg): 54.89 54.89 54.89
Fractional coordinates of all 16 atoms:
K 0.000 0.000 0.000
K 0.000 0.500 0.500
K 0.500 0.000 0.500
K 0.500 0.500 0.000
Pm 0.500 0.500 0.500
Tm 0.000 0.000 0.500
Tm 0.000 0.500 0.000
Tm 0.500 0.000 0.000
Te 0.228 0.740 0.740
Te 0.235 0.235 0.235
Te 0.260 0.260 0.772
Te 0.260 0.772 0.260
Te 0.740 0.228 0.740
Te 0.740 0.740 0.228
Te 0.765 0.765 0.765
Te 0.772 0.260 0.260

Entry 3:
Density functional theory data (PBE) for Tb12Al3Cu5 after structural relaxation.

Summary:
DFT formation energy: 0.176 eV/atom
Space-group type: No. 230

a b c (Å): 14.593 14.593 14.593
angles (deg): 109.47 109.47 109.47
Fractional coordinates of all 80 atoms:
Tb 0.045 0.216 0.127
Tb 0.045 0.329 0.918
Tb 0.082 0.627 0.411
Tb 0.082 0.955 0.671
Tb 0.089 0.716 0.671
Tb 0.089 0.873 0.418
Tb 0.127 0.045 0.216
Tb 0.127 0.582 0.911
Tb 0.171 0.216 0.589
Tb 0.171 0.455 0.582
Tb 0.216 0.127 0.045
Tb 0.216 0.589 0.171
Tb 0.284 0.329 0.911
Tb 0.284 0.455 0.373
Tb 0.329 0.911 0.284
Tb 0.329 0.918 0.045
Tb 0.373 0.284 0.455
Tb 0.373 0.589 0.918
Tb 0.411 0.082 0.627
Tb 0.411 0.829 0.784
Tb 0.418 0.089 0.873
Tb 0.418 0.829 0.545
Tb 0.455 0.373 0.284
Tb 0.455 0.582 0.171
Tb 0.545 0.418 0.829
Tb 0.545 0.627 0.716
Tb 0.582 0.171 0.455
Tb 0.582 0.911 0.127
Tb 0.589 0.171 0.216
Tb 0.589 0.918 0.373
Tb 0.627 0.411 0.082
Tb 0.627 0.716 0.545
Tb 0.671 0.082 0.955
Tb 0.671 0.089 0.716
Tb 0.716 0.545 0.627
Tb 0.716 0.671 0.089
Tb 0.784 0.411 0.829
Tb 0.784 0.873 0.955
Tb 0.829 0.545 0.418
Tb 0.829 0.784 0.411
Tb 0.873 0.418 0.089
Tb 0.873 0.955 0.784
Tb 0.911 0.127 0.582
Tb 0.911 0.284 0.329
Tb 0.918 0.045 0.329
Tb 0.918 0.373 0.589
Tb 0.955 0.671 0.082
Tb 0.955 0.784 0.873
Al 0.125 0.250 0.375
Al 0.125 0.375 0.750
Al 0.250 0.375 0.125
Al 0.250 0.875 0.625
Al 0.375 0.125 0.250
Al 0.375 0.750 0.125
Al 0.625 0.250 0.875
Al 0.625 0.875 0.750
Al 0.750 0.125 0.375
Al 0.750 0.625 0.875
Al 0.875 0.625 0.250
Al 0.875 0.750 0.625
Cu 0.000 0.000 0.000
Cu 0.000 0.000 0.500
Cu 0.000 0.500 0.000
Cu 0.000 0.500 0.500
Cu 0.125 0.750 0.875
Cu 0.125 0.875 0.250
Cu 0.250 0.125 0.875
Cu 0.250 0.625 0.375
Cu 0.375 0.250 0.625
Cu 0.375 0.625 0.750
Cu 0.500 0.000 0.000
Cu 0.500 0.000 0.500
Cu 0.500 0.500 0.000
Cu 0.500 0.500 0.500
Cu 0.625 0.375 0.250
Cu 0.625 0.750 0.375
Cu 0.750 0.375 0.625
Cu 0.750 0.875 0.125
Cu 0.875 0.125 0.750
Cu 0.875 0.250 0.125

Number 1: total DFT energy (no corrections) -0.2775 Ry per atom, size of the total moment 0.00 Bohr magnetons per cell, V 18.234 Å³ per atom. Number 2: total DFT energy (no corrections) -0.3205 Ry per atom, size of the total moment 0.00 Bohr magnetons per cell, V 35.947 Å³ per atom. Number 3: total DFT energy (no corrections) -0.3078 Ry per atom, size of the total moment 0.00 Bohr magnetons per cell, V 29.903 Å³ per atom.